First-principles (GGA+U) data for crystalline VGeN2F at its relaxed geometry, as listed in Alexandria.

Lattice parameters (Å, degrees): 3.882 3.882 3.887 90.00 90.00 90.00
Element x y z (fractional)
N 0.000 0.500 0.000
N 0.500 0.000 0.000
Ge 0.500 0.500 0.500
F 0.000 0.000 0.500
V 0.000 0.000 0.000

Output
Magnetic moment in μB per formula unit: 0.00
Polymorph energy (0 for the lowest one) in kJ/mol of atoms: 0.0
N(E_F) in states/eV per atom: 0.290
E in eV per atom: -6.14